Record 1
## Ce12AlGa3 (GGA-PBE)

Data for crystalline Ce12AlGa3 at its relaxed geometry.

Unit cell a=4.6482 b=4.6482 c=18.5678 alpha=90.00 beta=90.00 gamma=90.00
Closest atoms and distances in Å follow each position.
Positions (direct):
Ce 0.5000 0.5000 0.0000  4 Al 3.29, 8 Ce 3.30
Ce 0.5000 0.5000 0.2504  8 Ce 3.27-3.29, 4 Ga 3.29
Ce 0.5000 0.5000 0.5000  8 Ce 3.28, 4 Ga 3.29
Ce 0.5000 0.5000 0.7496  8 Ce 3.27-3.29, 4 Ga 3.29
Ce 0.5000 0.0000 0.1262  8 Ce 3.27-3.30, 2 Ga 3.28, 2 Al 3.30
Ce 0.5000 0.0000 0.3755  4 Ga 3.28, 8 Ce 3.28-3.29
Ce 0.5000 0.0000 0.6245  4 Ga 3.28, 8 Ce 3.28-3.29
Ce 0.5000 0.0000 0.8738  8 Ce 3.27-3.30, 2 Ga 3.28, 2 Al 3.30
Ce 0.0000 0.5000 0.1262  8 Ce 3.27-3.30, 2 Ga 3.28, 2 Al 3.30
Ce 0.0000 0.5000 0.3755  4 Ga 3.28, 8 Ce 3.28-3.29
Ce 0.0000 0.5000 0.6245  4 Ga 3.28, 8 Ce 3.28-3.29
Ce 0.0000 0.5000 0.8738  8 Ce 3.27-3.30, 2 Ga 3.28, 2 Al 3.30
Al 0.0000 0.0000 0.0000  12 Ce 3.29-3.30
Ga 0.0000 0.0000 0.2511  12 Ce 3.28-3.29
Ga 0.0000 0.0000 0.5000  12 Ce 3.28-3.29
Ga 0.0000 0.0000 0.7489  12 Ce 3.28-3.29

Properties
- Crystal system: tetragonal
- M_tot: 9.28 μB per cell
- Calculated total energy: -5.476 eV/atom

=====

Record 2
## Ce3AlGa2 (GGA-PBE)

Data for crystalline Ce3AlGa2 at its relaxed geometry.

Unit cell a=3.2221 b=3.2221 c=13.1483 alpha=90.00 beta=90.00 gamma=90.00
Closest atoms and distances in Å follow each position.
Positions (direct):
Ce 0.0000 0.0000 0.0000  8 Ga 3.15, 4 Ce 3.22
Ce 0.0000 0.0000 0.6694  4 Ga 3.15, 4 Al 3.19, 4 Ce 3.22
Ce 0.0000 0.0000 0.3306  4 Ga 3.15, 4 Al 3.19, 4 Ce 3.22
Al 0.5000 0.5000 0.5000  8 Ce 3.19, 4 Al 3.22
Ga 0.5000 0.5000 0.8349  8 Ce 3.15, 4 Ga 3.22
Ga 0.5000 0.5000 0.1651  8 Ce 3.15, 4 Ga 3.22

Properties
- Crystal system: tetragonal
- M_tot: 0.00 μB per cell
- Calculated total energy: -5.031 eV/atom

=====

no.,formation energy (meV per atom)
1,-224
2,-431